Density functional theory data (GGA-PBE) for LaPmAsCl after structural relaxation.

## Properties
V   24.30 Å³/atom
ΔE_f (raw)   -1.39 eV per atom
E   -5.437 eV per atom
Space-group type   F-43m, No. 216

Cell: 5.161 5.161 5.161 Å, 60.00 60.00 60.00°
Sites, in units of the cell vectors:
La 0.000 0.000 0.000
Pm 0.500 0.500 0.500
As 0.250 0.250 0.250
Cl 0.750 0.750 0.750

***

Density functional theory data (GGA-PBE) for La8AsPt3Cl4 after structural relaxation.

## Properties
V   28.54 Å³/atom
ΔE_f (raw)   -1.46 eV per atom
E   -5.809 eV per atom
Space-group type   R-3m, No. 166

Cell: 8.701 8.701 8.701 Å, 59.14 59.14 59.14°
Sites, in units of the cell vectors:
La 0.238 0.238 0.238
La 0.238 0.747 0.747
La 0.253 0.253 0.762
La 0.253 0.762 0.253
La 0.747 0.238 0.747
La 0.747 0.747 0.238
La 0.762 0.253 0.253
La 0.762 0.762 0.762
As 0.500 0.500 0.500
Pt 0.000 0.000 0.500
Pt 0.000 0.500 0.000
Pt 0.500 0.000 0.000
Cl 0.000 0.000 0.000
Cl 0.000 0.500 0.500
Cl 0.500 0.000 0.500
Cl 0.500 0.500 0.000

***

Density functional theory data (GGA-PBE) for La4AsPtCl2 after structural relaxation.

## Properties
V   28.03 Å³/atom
ΔE_f (raw)   -1.52 eV per atom
E   -5.783 eV per atom
Space-group type   P2/m, No. 10

Cell: 7.307 4.220 7.698 Å, 90.00 109.16 90.00°
Sites, in units of the cell vectors:
La 0.228 0.000 0.233
La 0.242 0.500 0.746
La 0.758 0.500 0.254
La 0.772 0.000 0.767
As 0.000 0.000 0.500
Pt 0.000 0.500 0.000
Cl 0.500 0.000 0.000
Cl 0.500 0.500 0.500

***

Density functional theory data (GGA-PBE) for La6AsPt2Cl3 after structural relaxation.

## Properties
V   28.47 Å³/atom
ΔE_f (raw)   -1.48 eV per atom
E   -5.800 eV per atom
Space-group type   C2/m, No. 12

Cell: 7.479 7.479 7.467 Å, 99.76 99.76 119.69°
Sites, in units of the cell vectors:
La 0.078 0.422 0.769
La 0.231 0.231 0.224
La 0.422 0.078 0.769
La 0.578 0.922 0.231
La 0.769 0.769 0.776
La 0.922 0.578 0.231
As 0.500 0.500 0.000
Pt 0.168 0.832 0.000
Pt 0.832 0.168 0.000
Cl 0.000 0.000 0.500
Cl 0.344 0.656 0.500
Cl 0.656 0.344 0.500